This record from Alexandria via LeMat-Bulk describes TbHoSbTe after structural relaxation. The functional is PBE.

The structure belongs to space group R3m (No. 160, hexagonal axes); the cell edges are 4.2851, 4.2851 and 22.5934 Å and the angles 90.00°, 90.00° and 120.00°. The inequivalent atoms are Tb at (0.0000, 0.0000, 0.0000), Ho at (0.0000, 0.0000, 0.8218), Sb at (0.0000, 0.0000, 0.4134) and Te at (0.0000, 0.0000, 0.2425).

As for the uncorrected formation energy: -1208.9 meV per atom. The density of states at the Fermi level is 9.99 states/eV per cell. The value obtained for the total magnetization is 0.001 μB per atom.